Below is Nd2CdSn2 after structural relaxation, with properties calculated at the PBE-GGA level.

Geometry as POSCAR:
```
Nd2CdSn2
1.0
5.964 -2.353 0.000
5.964 2.353 0.000
-4.880 0.000 10.088
Nd Cd Sn
4 2 4
direct
0.002 0.002 0.175 Nd
0.182 0.182 0.604 Nd
0.818 0.818 0.396 Nd
0.998 0.998 0.825 Nd
0.295 0.295 0.165 Cd
0.705 0.705 0.835 Cd
0.357 0.357 0.930 Sn
0.457 0.457 0.606 Sn
0.543 0.543 0.394 Sn
0.643 0.643 0.070 Sn
```

ΔE_f ... -0.6223 eV per atom
Fermi-level density of states ... 7.330 states/eV per cell
Energy ... -43.1 eV for the cell shown